Here is an optimized crystal structure of Li4Fe3Ni3Te2O16 from the Alexandria database. Energies are from GGA+U.

Cell: 5.9017 5.9017 9.6669 Å, 88.78 88.78 60.12°
Closest atoms and distances in Å follow each position.
Positions (direct):
1 O 0.6670 0.1698 0.9110  1 Te 1.98, 1 Li 2.00, 1 Fe 2.02, 1 Ni 2.14
2 O 0.8363 0.3410 0.4069  1 Te 1.97, 1 Li 1.99, 1 Fe 2.08, 1 Ni 2.12
3 O 0.6566 0.6566 0.8851  2 Fe 1.89, 1 Ni 1.98, 1 Li 2.00
4 O 0.5090 0.9595 0.6497  1 Li 1.97, 1 Te 2.01, 1 Fe 2.03, 1 Ni 2.12
5 O 0.3410 0.8363 0.4069  1 Te 1.97, 1 Li 1.99, 1 Fe 2.08, 1 Ni 2.12
6 O 0.0073 0.0073 0.7016  1 Li 1.84, 2 Fe 1.90, 1 Ni 1.98
7 O 0.9595 0.5090 0.6497  1 Li 1.97, 1 Te 2.01, 1 Fe 2.03, 1 Ni 2.12
8 O 0.1698 0.6670 0.9110  1 Te 1.98, 1 Li 2.00, 1 Fe 2.02, 1 Ni 2.14
9 O 0.1766 0.1766 0.9118  1 Te 1.95, 1 Li 2.02, 2 Fe 2.17
10 O 0.5113 0.5113 0.6418  1 Li 1.97, 1 Te 1.98, 2 Fe 2.16
11 O 0.4830 0.4830 0.1482  1 Li 1.94, 1 Te 1.97, 2 Ni 2.08
12 O 0.0345 0.4785 0.1514  1 Li 1.98, 1 Te 1.99, 1 Fe 2.02, 1 Ni 2.14
13 O 0.4785 0.0345 0.1514  1 Li 1.98, 1 Te 1.99, 1 Fe 2.02, 1 Ni 2.14
14 O 0.0076 0.0076 0.2047  1 Li 1.83, 1 Fe 1.89, 2 Ni 1.94
15 O 0.3281 0.3281 0.3846  1 Fe 1.86, 2 Ni 1.94, 1 Li 1.95
16 O 0.8332 0.8332 0.4132  1 Te 1.95, 1 Li 1.99, 2 Ni 2.10
17 Fe 0.8254 0.3382 0.7883  4 O 1.89-2.03
18 Fe 0.1737 0.1737 0.2856  6 O 1.86-2.08
19 Fe 0.3382 0.8254 0.7883  4 O 1.89-2.03
20 Ni 0.6620 0.1724 0.2883  6 O 1.94-2.14
21 Ni 0.8283 0.8283 0.7855  6 O 1.98-2.14
22 Ni 0.1724 0.6620 0.2883  6 O 1.94-2.14
23 Li 0.0026 0.0026 0.5110  4 O 1.84-1.99
24 Li 0.0024 0.0024 0.0159  4 O 1.83-2.02
25 Li 0.6663 0.6663 0.0917  4 O 1.94-2.00
26 Li 0.3266 0.3266 0.5867  4 O 1.95-1.97
27 Te 0.3363 0.3363 0.0192  6 O 1.95-1.99
28 Te 0.6655 0.6655 0.5145  6 O 1.95-2.01

## Properties
The uncorrected energy is -5.51 eV/atom.